1.
The following is a DFT calculation (PBE-GGA) of crystalline KTcTe4 at its relaxed geometry.

Unit cell a=6.483 b=6.483 c=6.483 alpha=60.00 beta=60.00 gamma=60.00
Site moments in Bohr magnetons follow the coordinates.
Fractional coordinates of all 6 atoms:
Te (0.374, 0.374, 0.374)  0.06
Te (0.374, 0.878, 0.374)  0.06
Te (0.374, 0.374, 0.878)  0.06
Te (0.878, 0.374, 0.374)  0.06
K (0.750, 0.750, 0.750)  0.01
Tc (0.000, 0.000, 0.000)  3.73

## Properties
* Fermi-level density of states: 5.38 states/eV per cell
* crystal system: cubic
* symmetry: F-43m, No. 216
* total magnetization: 5.0 Bohr magnetons per cell
* formation energy (no corrections): 0.652 eV/atom


2.
The following is a DFT calculation (PBE-GGA) of crystalline NaPd2PtO at its relaxed geometry.

Unit cell a=4.655 b=4.767 c=4.655 alpha=90.00 beta=90.00 gamma=90.00
Site moments in Bohr magnetons follow the coordinates.
Fractional coordinates of all 5 atoms:
O (0.500, 0.500, 0.500)  -0.09
Pd (0.500, 0.000, 0.000)  0.23
Pd (0.000, 0.000, 0.500)  0.29
Na (0.000, 0.000, 0.000)  0.00
Pt (0.000, 0.500, 0.000)  0.37

## Properties
* Fermi-level density of states: 14.19 states/eV per cell
* crystal system: tetragonal
* symmetry: P4/mmm, No. 123
* total magnetization: 0.8 Bohr magnetons per cell
* formation energy (no corrections): 1.823 eV/atom


3.
The following is a DFT calculation (PBE-GGA) of crystalline CuHgS at its relaxed geometry.

Unit cell a=3.739 b=3.739 c=4.978 alpha=90.00 beta=90.00 gamma=120.00
Fractional coordinates of all 3 atoms:
S (0.333, 0.667, 0.561)
Cu (0.667, 0.333, 0.419)
Hg (0.000, 0.000, 0.020)

## Properties
* Fermi-level density of states: 2.65 states/eV per cell
* crystal system: trigonal
* symmetry: P3m1, No. 156
* energy above the lowest structure with this stoichiometry: 74 meV per atom
* total magnetization: 0.0 Bohr magnetons per cell
* formation energy (no corrections): 0.038 eV/atom


4.
The following is a DFT calculation (PBE-GGA) of crystalline KBe2Se at its relaxed geometry.

Unit cell a=6.074 b=6.074 c=2.766 alpha=90.00 beta=90.00 gamma=123.89
Fractional coordinates of all 4 atoms:
K (0.500, 0.000, 0.500)
Be (0.500, 0.500, 0.000)
Be (0.000, 0.000, 0.000)
Se (0.000, 0.500, 0.500)

## Properties
* Fermi-level density of states: 1.58 states/eV per cell
* crystal system: orthorhombic
* symmetry: Cmmm, No. 65
* total magnetization: 0.0 Bohr magnetons per cell
* formation energy (no corrections): 0.928 eV/atom


5.
The following is a DFT calculation (PBE-GGA) of crystalline TbPr7Er3 at its relaxed geometry.

Unit cell a=10.008 b=10.011 c=13.577 alpha=100.87 beta=100.85 gamma=138.16
Fractional coordinates of all 22 atoms:
Pr (0.557, 0.882, 0.969)
Pr (0.494, 0.495, 0.750)
Pr (0.881, 0.556, 0.469)
Pr (0.908, 0.084, 0.750)
Pr (0.444, 0.119, 0.531)
Pr (0.118, 0.442, 0.031)
Pr (0.882, 0.558, 0.969)
Pr (0.917, 0.092, 0.250)
Pr (0.083, 0.908, 0.750)
Pr (0.119, 0.444, 0.531)
Pr (0.092, 0.916, 0.250)
Pr (0.556, 0.881, 0.469)
Pr (0.443, 0.118, 0.031)
Pr (0.506, 0.505, 0.250)
Er (0.503, 0.000, 0.250)
Er (0.000, 0.497, 0.750)
Er (0.000, 0.000, 0.000)
Er (0.497, 0.000, 0.750)
Er (0.000, 0.503, 0.250)
Er (0.000, 0.000, 0.500)
Tb (0.500, 0.500, 0.000)
Tb (0.500, 0.500, 0.500)

## Properties
* Fermi-level density of states: 36.44 states/eV per cell
* crystal system: triclinic
* symmetry: P-1, No. 2
* energy above the lowest structure with this stoichiometry: 0 meV per atom
* total magnetization: 0.0 Bohr magnetons per cell
* calculated formation energy: 12.5 kJ/mol of atoms


6.
The following is a DFT calculation (PBE-GGA) of crystalline RbGaTe2 at its relaxed geometry.

Unit cell a=7.110 b=7.110 c=7.926 alpha=63.35 beta=63.35 gamma=90.00
Fractional coordinates of all 8 atoms:
Ga (0.250, 0.750, 0.500)
Ga (0.500, 0.500, 0.000)
Te (0.456, 0.956, 0.087)
Te (0.706, 0.706, 0.587)
Te (0.294, 0.294, 0.413)
Te (0.044, 0.544, 0.913)
Rb (0.750, 0.250, 0.500)
Rb (0.000, 0.000, 0.000)

## Properties
* Fermi-level density of states: 0.00 states/eV per cell
* crystal system: tetragonal
* symmetry: I4_1/amd, No. 141
* total magnetization: 0.0 Bohr magnetons per cell
* formation energy (no corrections): -0.402 eV/atom


7.
The following is a DFT calculation (PBE-GGA) of crystalline Pm6DyS8 at its relaxed geometry.

Unit cell a=8.038 b=8.038 c=8.038 alpha=60.00 beta=60.00 gamma=60.00
Fractional coordinates of all 15 atoms:
S (0.244, 0.244, 0.756)
S (0.250, 0.250, 0.250)
S (0.244, 0.756, 0.756)
S (0.750, 0.750, 0.750)
S (0.756, 0.244, 0.756)
S (0.756, 0.756, 0.244)
S (0.244, 0.756, 0.244)
S (0.756, 0.244, 0.244)
Dy (0.000, 0.000, 0.000)
Pm (0.500, 0.000, 0.500)
Pm (0.500, 0.500, 0.000)
Pm (0.000, 0.500, 0.500)
Pm (0.500, 0.000, 0.000)
Pm (0.000, 0.000, 0.500)
Pm (0.000, 0.500, 0.000)

## Properties
* Fermi-level density of states: 6.98 states/eV per cell
* crystal system: cubic
* symmetry: Fm-3m, No. 225
* total magnetization: 0.0 Bohr magnetons per cell
* formation energy (no corrections): -2.063 eV/atom


8.
The following is a DFT calculation (PBE-GGA) of crystalline Na15In2Hg2 at its relaxed geometry.

Unit cell a=9.459 b=9.459 c=9.459 alpha=60.62 beta=60.62 gamma=60.62
Fractional coordinates of all 19 atoms:
Na (0.687, 0.000, 0.313)
Na (0.434, 0.807, 0.434)
Na (0.687, 0.313, 0.000)
Na (0.193, 0.566, 0.566)
Na (0.500, 0.000, 0.000)
Na (0.566, 0.193, 0.566)
Na (0.434, 0.434, 0.807)
Na (0.313, 0.687, 0.000)
Na (0.566, 0.566, 0.193)
Na (0.807, 0.434, 0.434)
Na (0.000, 0.500, 0.000)
Na (0.000, 0.313, 0.687)
Na (0.000, 0.000, 0.500)
Na (0.313, 0.000, 0.687)
Na (0.000, 0.687, 0.313)
In (0.718, 0.718, 0.718)
In (0.282, 0.282, 0.282)
Hg (0.079, 0.079, 0.079)
Hg (0.921, 0.921, 0.921)

## Properties
* Fermi-level density of states: 10.14 states/eV per cell
* crystal system: trigonal
* symmetry: R-3m, No. 166
* total magnetization: 0.0 Bohr magnetons per cell
* calculated formation energy: 2.4 kJ/mol of atoms


9.
The following is a DFT calculation (PBE-GGA) of crystalline WBr2Cl at its relaxed geometry.

Unit cell a=7.131 b=7.131 c=3.301 alpha=90.00 beta=90.00 gamma=139.21
Site moments in Bohr magnetons follow the coordinates.
Fractional coordinates of all 4 atoms:
W (0.000, 0.500, 0.500)  2.43
Cl (0.500, 0.000, 0.500)  -0.01
Br (0.500, 0.500, 0.000)  0.04
Br (0.000, 0.000, 0.000)  0.04

## Properties
* Fermi-level density of states: 3.58 states/eV per cell
* crystal system: orthorhombic
* symmetry: Cmmm, No. 65
* energy above the lowest structure with this stoichiometry: 1283 meV per atom
* total magnetization: 3.3 Bohr magnetons per cell
* formation energy (no corrections): 1.025 eV/atom


10.
The following is a DFT calculation (PBE-GGA) of crystalline Pu5Cu at its relaxed geometry.

Unit cell a=4.924 b=3.977 c=6.093 alpha=109.05 beta=90.00 gamma=90.00
Site moments in Bohr magnetons follow the coordinates.
Fractional coordinates of all 6 atoms:
Cu (0.000, 0.000, 0.000)  0.01
Pu (0.000, 0.693, 0.386)  -1.34
Pu (0.000, 0.307, 0.614)  -1.34
Pu (0.500, 0.860, 0.720)  4.11
Pu (0.500, 0.500, 0.000)  -3.23
Pu (0.500, 0.140, 0.280)  4.11

## Properties
* Fermi-level density of states: 16.23 states/eV per cell
* crystal system: orthorhombic
* symmetry: Cmmm, No. 65
* total magnetization: 2.3 Bohr magnetons per cell
* calculated formation energy: 25.1 kJ/mol of atoms


11.
The following is a DFT calculation (PBE-GGA) of crystalline La2Mn2N at its relaxed geometry.

Unit cell a=3.243 b=3.243 c=8.602 alpha=79.14 beta=79.14 gamma=90.00
Fractional coordinates of all 5 atoms:
Mn (0.250, 0.750, 0.500)
Mn (0.750, 0.250, 0.500)
N (0.000, 0.000, 0.000)
La (0.410, 0.410, 0.179)
La (0.590, 0.590, 0.821)

## Properties
* Fermi-level density of states: 3.00 states/eV per cell
* crystal system: tetragonal
* symmetry: I4/mmm, No. 139
* energy above the lowest structure with this stoichiometry: 0 meV per atom
* total magnetization: 0.0 Bohr magnetons per cell
* formation energy (no corrections): -0.034 eV/atom


12.
The following is a DFT calculation (PBE-GGA) of crystalline RbPdBr5 at its relaxed geometry.

Unit cell a=7.277 b=7.465 c=7.465 alpha=55.22 beta=60.83 gamma=60.83
Fractional coordinates of all 7 atoms:
Pd (0.614, 0.500, 0.500)
Br (0.850, 0.277, 0.277)
Br (0.412, 0.207, 0.793)
Br (0.412, 0.793, 0.207)
Br (0.405, 0.723, 0.723)
Br (0.960, 0.500, 0.500)
Rb (0.879, 0.000, 0.000)

## Properties
* Fermi-level density of states: 13.27 states/eV per cell
* crystal system: orthorhombic
* symmetry: Imm2, No. 44
* energy above the lowest structure with this stoichiometry: 114 meV per atom
* total magnetization: 0.0 Bohr magnetons per cell
* formation energy (no corrections): -0.493 eV/atom